Here is HfSi3Se after structural relaxation from the Alexandria database. Energies are from PBE.

Summary:
energy relative to the elements, uncorrected	0.9896	eV per atom
total energy	-4.95	eV/atom

Cell lengths 5.1127, 5.1127, 5.1127 Å; angles 90.00, 90.00, 90.00 degrees
Space group Pm-3m (No. 221)
Unique sites:
Hf1 0.0000 0.0000 0.0000
Si1 0.0000 0.0000 0.5000
Se1 0.5000 0.5000 0.5000

***

Here is Hf2SiSe after structural relaxation from the Alexandria database. Energies are from PBE.

Summary:
energy relative to the elements, uncorrected	-0.8045	eV per atom
total energy	-8.01	eV/atom

Cell lengths 3.8146, 3.8146, 19.0428 Å; angles 90.00, 90.00, 120.00 degrees
Space group R-3m (No. 166, hexagonal axes)
Unique sites:
Hf1 0.0000 0.0000 0.2387
Si1 0.0000 0.0000 0.5000
Se1 0.0000 0.0000 0.0000

***

What did the second record say?
Here is Hf2SiSe after structural relaxation from the Alexandria database. Energies are from PBE.

Summary:
energy relative to the elements, uncorrected	-0.8045	eV per atom
total energy	-8.01	eV/atom

Cell lengths 3.8146, 3.8146, 19.0428 Å; angles 90.00, 90.00, 120.00 degrees
Space group R-3m (No. 166, hexagonal axes)
Unique sites:
Hf1 0.0000 0.0000 0.2387
Si1 0.0000 0.0000 0.5000
Se1 0.0000 0.0000 0.0000

***

- Among the records above, which one has the highest total energy?
  HfSi3Se